[1]
{
  "formula": "Zr2SiNi2Ge",
  "functional": "PBE-GGA",
  "state": "relaxed",
  "lattice": [[9.682, 0.000, 0.000], [0.000, 3.891, 0.000], [-1.740, 0.000, 10.286]],
  "species": ["Ge", "Ge", "Ge", "Ge", "Ni", "Ni", "Ni", "Ni", "Ni", "Ni", "Ni", "Ni", "Si", "Si", "Si", "Si", "Zr", "Zr", "Zr", "Zr", "Zr", "Zr", "Zr", "Zr"],
  "frac_coords": [[0.012, 0.000, 0.305], [0.737, 0.000, 0.514], [0.689, 0.000, 0.769], [0.983, 0.500, 0.825], [0.098, 0.500, 0.142], [0.891, 0.500, 0.231], [0.419, 0.000, 0.297], [0.133, 0.000, 0.537], [0.664, 0.500, 0.622], [0.919, 0.000, 0.701], [0.213, 0.500, 0.968], [0.608, 0.000, 0.978], [0.718, 0.500, 0.054], [0.231, 0.000, 0.115], [0.539, 0.500, 0.393], [0.252, 0.500, 0.623], [0.920, 0.000, 0.003], [0.447, 0.500, 0.118], [0.700, 0.000, 0.247], [0.241, 0.500, 0.360], [0.944, 0.500, 0.503], [0.442, 0.000, 0.566], [0.211, 0.000, 0.806], [0.487, 0.500, 0.824]],
  "total_energy_ev_per_atom": -6.982,
  "spacegroup": "Pm"
}

***

[2]
{
  "formula": "Zr3Si2Ni4Ge2",
  "functional": "PBE-GGA",
  "state": "relaxed",
  "lattice": [[-1.961, 3.232, 6.449], [1.961, -3.232, 6.449], [1.961, 3.232, -6.449]],
  "species": ["Ge", "Ge", "Ni", "Ni", "Ni", "Ni", "Si", "Si", "Zr", "Zr", "Zr"],
  "frac_coords": [[0.785, 0.285, 0.500], [0.215, 0.715, 0.500], [0.370, 0.171, 0.199], [0.028, 0.829, 0.199], [0.972, 0.171, 0.801], [0.630, 0.829, 0.801], [0.307, 0.000, 0.307], [0.693, 0.000, 0.693], [0.374, 0.374, 0.000], [0.626, 0.626, 0.000], [0.000, 0.500, 0.500]],
  "relative_energy_mev_per_atom": 44.5,
  "total_energy_ev_per_atom": -6.969,
  "spacegroup": "Immm"
}

***

[3]
{
  "formula": "Zr3Si2Ni4Ge2",
  "functional": "PBE-GGA",
  "state": "relaxed",
  "lattice": [[6.490, -1.931, 3.174], [0.298, -0.998, 7.405], [-2.703, -1.978, -6.686]],
  "species": ["Ge", "Ge", "Ni", "Ni", "Ni", "Ni", "Si", "Si", "Zr", "Zr", "Zr"],
  "frac_coords": [[0.300, 0.000, 0.300], [0.700, 0.000, 0.700], [0.378, 0.181, 0.198], [0.017, 0.819, 0.198], [0.983, 0.181, 0.802], [0.622, 0.819, 0.802], [0.786, 0.286, 0.500], [0.214, 0.714, 0.500], [0.372, 0.372, 0.000], [0.628, 0.628, 0.000], [0.000, 0.500, 0.500]],
  "relative_energy_mev_per_atom": 0.0,
  "total_energy_ev_per_atom": -7.014,
  "spacegroup": "Immm"
}

***

[4]
{
  "formula": "Sm6Ni2Ge",
  "functional": "PBE-GGA",
  "state": "relaxed",
  "lattice": [[7.671, 0.000, 0.000], [-3.836, 6.643, 0.000], [0.000, 0.000, 4.527]],
  "species": ["Ge", "Ni", "Ni", "Sm", "Sm", "Sm", "Sm", "Sm", "Sm"],
  "frac_coords": [[0.000, 0.000, 0.500], [0.667, 0.333, 0.000], [0.333, 0.667, 0.000], [0.280, 0.000, 0.000], [0.000, 0.280, 0.000], [0.720, 0.720, 0.000], [0.604, 0.000, 0.500], [0.396, 0.396, 0.500], [0.000, 0.604, 0.500]],
  "total_energy_ev_per_atom": -5.165,
  "spacegroup": "P-62m"
}

***

[5]
{
  "formula": "Sm6NiGe2",
  "functional": "PBE-GGA",
  "state": "relaxed",
  "lattice": [[-0.023, -5.576, -5.859], [6.822, 3.960, 1.787], [0.968, -2.920, 2.775]],
  "species": ["Ge", "Ge", "Ni", "Sm", "Sm", "Sm", "Sm", "Sm", "Sm"],
  "frac_coords": [[0.667, 0.333, 0.000], [0.333, 0.667, 0.000], [0.000, 0.000, 0.500], [0.247, 0.000, 0.000], [0.000, 0.247, 0.000], [0.753, 0.753, 0.000], [0.586, 0.000, 0.500], [0.414, 0.414, 0.500], [0.000, 0.586, 0.500]],
  "total_energy_ev_per_atom": -5.259,
  "spacegroup": "P-62m"
}

***

[6]
{
  "formula": "Sm2NiGe6",
  "functional": "PBE-GGA",
  "state": "relaxed",
  "lattice": [[1.997, -11.027, 0.000], [1.997, 11.027, 0.000], [0.000, 0.000, 4.141]],
  "species": ["Ge", "Ge", "Ge", "Ge", "Ge", "Ge", "Ni", "Sm", "Sm"],
  "frac_coords": [[0.787, 0.213, 0.000], [0.565, 0.435, 0.000], [0.435, 0.565, 0.000], [0.213, 0.787, 0.000], [0.937, 0.063, 0.500], [0.063, 0.937, 0.500], [0.000, 0.000, 0.000], [0.672, 0.328, 0.500], [0.328, 0.672, 0.500]],
  "relative_energy_mev_per_atom": 33.8,
  "total_energy_ev_per_atom": -5.250,
  "spacegroup": "Cmmm"
}

***

[7]
{
  "formula": "SmNiGe2",
  "functional": "PBE-GGA",
  "state": "relaxed",
  "lattice": [[0.000, 0.000, 4.226], [4.180, 0.000, 0.000], [2.090, 8.374, 0.000]],
  "species": ["Ge", "Ge", "Ge", "Ge", "Ni", "Ni", "Sm", "Sm"],
  "frac_coords": [[0.750, 0.458, 0.084], [0.250, 0.251, 0.498], [0.750, 0.749, 0.502], [0.250, 0.542, 0.916], [0.750, 0.319, 0.362], [0.250, 0.681, 0.638], [0.250, 0.893, 0.215], [0.750, 0.107, 0.785]],
  "total_energy_ev_per_atom": -5.621,
  "spacegroup": "Cmcm"
}

***

[8]
{
  "formula": "Sm2Ni3Ge5",
  "functional": "PBE-GGA",
  "state": "relaxed",
  "lattice": [[5.722, -5.868, 0.000], [5.722, 5.868, 0.000], [-3.077, 0.000, 5.077]],
  "species": ["Ge", "Ge", "Ge", "Ge", "Ge", "Ge", "Ge", "Ge", "Ge", "Ge", "Ni", "Ni", "Ni", "Ni", "Ni", "Ni", "Sm", "Sm", "Sm", "Sm"],
  "frac_coords": [[0.259, 0.061, 0.162], [0.771, 0.229, 0.250], [0.500, 0.500, 0.250], [0.230, 0.770, 0.250], [0.939, 0.741, 0.338], [0.061, 0.259, 0.662], [0.770, 0.230, 0.750], [0.500, 0.500, 0.750], [0.229, 0.771, 0.750], [0.741, 0.939, 0.838], [0.744, 0.469, 0.107], [0.999, 0.001, 0.250], [0.531, 0.256, 0.393], [0.469, 0.744, 0.607], [0.001, 0.999, 0.750], [0.256, 0.531, 0.893], [0.599, 0.869, 0.232], [0.131, 0.401, 0.268], [0.869, 0.599, 0.732], [0.401, 0.131, 0.768]],
  "total_energy_ev_per_atom": -5.586,
  "spacegroup": "C2/c"
}

***

| no. | total magnetization (μB/f.u.) |
| --- | --- |
| 1 | 0.001 |
| 2 | 0.000 |
| 3 | 0.000 |
| 4 | 0.000 |
| 5 | 0.046 |
| 6 | 0.001 |
| 7 | 0.001 |
| 8 | 0.000 |